Below is Ba2AgCl at its PBEsol-relaxed geometry, with properties calculated at the SCAN level.

abc: 4.1234 4.2267 8.5883
angles: 104.25 103.89 90.00
Last column: nearest neighbours and their distance in Å.
Atoms (fractional coordinates):
Ba1 0.0419 0.0419 0.0838  4 Cl 3.21, 2 Ag 3.32
Ba2 0.7945 0.2945 0.5889  4 Ag 3.32, 2 Cl 3.42
Ag1 0.2003 0.7003 0.4005  6 Ba 3.32
Cl1 0.4634 0.4634 0.9267  6 Ba 3.21-3.42

Formation energy without anion corrections (meV/atom): -1022
Total energy (eV per cell): -122.5
N(E_F) (states/eV per cell): 3.42